--- i ---
SmZr2Ga: relaxed, PBE.

Cell lengths 3.1723, 3.1723, 11.1825 Å; angles 81.85, 81.85, 60.00 degrees
Last column: nearest neighbours and their distance in Å.
Atoms (fractional coordinates):
Ga: 0.5000 0.5000 0.5000  6 Zr 2.95, 6 Ga 3.17
Sm: 0.0000 0.0000 0.0000  6 Sm 3.17, 2 Zr 3.20
Zr: 0.0966 0.0966 0.7101  3 Ga 2.95, 6 Zr 3.17, 1 Sm 3.20
Zr: 0.9034 0.9034 0.2899  3 Ga 2.95, 6 Zr 3.17, 1 Sm 3.20

Results
The theoretical density comes out at 6.953 g cm⁻³.

***

--- ii ---
SmZr2Ga: relaxed, PBE.

Cell lengths 4.4628, 4.5061, 4.5061 Å; angles 90.00, 90.00, 90.00 degrees
Last column: nearest neighbours and their distance in Å.
Atoms (fractional coordinates):
Ga: 0.5000 0.5000 0.5000  8 Zr 3.17, 4 Sm 3.19
Zr: 0.0000 0.0000 0.5000  4 Sm 3.17, 4 Ga 3.17, 4 Zr 3.19
Zr: 0.0000 0.5000 0.0000  4 Sm 3.17, 4 Ga 3.17, 4 Zr 3.19
Sm: 0.5000 0.0000 0.0000  8 Zr 3.17, 4 Ga 3.19

Results
The theoretical density comes out at 7.376 g cm⁻³.

***

Energetically preferred structure: ii | next structure: +0.324 eV/atom

***

--- i ---
SmZrGa4: relaxed, PBE.

Cell lengths 4.0751, 4.0751, 7.8239 Å; angles 105.10, 105.10, 90.00 degrees
Last column: nearest neighbours and their distance in Å.
Atoms (fractional coordinates):
Ga: 0.5846 0.5846 0.1692  3 Ga 2.38-2.46
Ga: 0.8304 0.3304 0.6608  3 Ga 2.34-2.38
Ga: 0.6696 0.1696 0.3392  3 Ga 2.34-2.38
Ga: 0.4154 0.4154 0.8308  3 Ga 2.38-2.46
Sm: 0.0000 0.0000 0.0000  12 Ga 3.13-3.20
Zr: 0.2500 0.7500 0.5000  12 Ga 3.11-3.15

Results
The theoretical density comes out at 7.155 g cm⁻³.

***

--- ii ---
SmZrGa4: relaxed, PBE.

Cell lengths 5.4380, 5.4380, 5.4380 Å; angles 60.00, 60.00, 60.00 degrees
Last column: nearest neighbours and their distance in Å.
Atoms (fractional coordinates):
Zr: 0.0000 0.0000 0.0000  12 Ga 3.19, 4 Sm 3.33
Ga: 0.1239 0.6254 0.6254  6 Ga 2.71-2.73
Ga: 0.6254 0.6254 0.6254  6 Ga 2.71-2.73
Ga: 0.6254 0.6254 0.1239  6 Ga 2.71-2.73
Ga: 0.6254 0.1239 0.6254  6 Ga 2.71-2.73
Sm: 0.2500 0.2500 0.2500  12 Ga 3.19, 4 Zr 3.33

Results
The theoretical density comes out at 7.601 g cm⁻³.

***

Energetically preferred structure: i | next structure: +0.053 eV/atom

***

--- i ---
Ga6Sn: relaxed, PBE.

Cell lengths 6.3121, 6.3121, 7.3523 Å; angles 90.00, 90.00, 90.00 degrees
Last column: nearest neighbours and their distance in Å.
Atoms (fractional coordinates):
Ga: 0.0000 0.0000 0.1741  5 Ga 2.56-2.71
Ga: 0.5000 0.5000 0.1741  5 Ga 2.56-2.71
Ga: 0.6647 0.8353 0.6452  3 Ga 2.62-2.71
Ga: 0.3353 0.1647 0.6452  3 Ga 2.62-2.71
Ga: 0.3353 0.8353 0.3548  3 Ga 2.62-2.71
Ga: 0.8353 0.3353 0.6452  3 Ga 2.62-2.71
Ga: 0.8353 0.6647 0.3548  3 Ga 2.62-2.71
Ga: 0.0000 0.0000 0.8259  5 Ga 2.56-2.71
Ga: 0.5000 0.5000 0.8259  5 Ga 2.56-2.71
Ga: 0.1647 0.6647 0.6452  3 Ga 2.62-2.71
Ga: 0.1647 0.3353 0.3548  3 Ga 2.62-2.71
Ga: 0.6647 0.1647 0.3548  3 Ga 2.62-2.71
Sn: 0.5000 0.0000 0.0000  4 Ga 2.99
Sn: 0.0000 0.5000 0.0000  4 Ga 2.99

Results
The theoretical density comes out at 6.089 g cm⁻³.

***

--- ii ---
Ga6Sn: relaxed, PBE.

Cell lengths 6.1519, 6.1519, 6.1519 Å; angles 109.47, 109.47, 109.47 degrees
Last column: nearest neighbours and their distance in Å.
Atoms (fractional coordinates):
Sn: 0.0000 0.0000 0.0000  24 Ga 3.97
Ga: 0.5000 0.2500 0.7500  4 Ga 2.51
Ga: 0.7500 0.5000 0.2500  4 Ga 2.51
Ga: 0.2500 0.7500 0.5000  4 Ga 2.51
Ga: 0.5000 0.7500 0.2500  4 Ga 2.51
Ga: 0.7500 0.2500 0.5000  4 Ga 2.51
Ga: 0.2500 0.5000 0.7500  4 Ga 2.51

Results
The theoretical density comes out at 4.976 g cm⁻³.

***

Energetically preferred structure: i | next structure: +0.291 eV/atom